<P>
4
Lattice="5.113 0.000 0.000 0.000 5.113 0.000 0.000 0.000 2.907" Properties=species:S:1:pos:R:3 comment="BaRe2Rh, optimized geometry, DFT PBE" mass_density_g_cm3=13.387 pbc="T T T"
Ba 0.000 0.000 1.453
Re 2.557 0.000 0.000
Re 0.000 2.557 0.000
Rh 2.557 2.557 1.453

***

<Q>
4
Lattice="3.852 0.000 0.000 0.000 3.852 0.000 0.000 0.000 5.444" Properties=species:S:1:pos:R:3 comment="BaRe2Rh, optimized geometry, DFT PBE" mass_density_g_cm3=12.596 pbc="T T T"
Ba 0.000 0.000 2.722
Re 0.000 1.926 0.000
Re 1.926 0.000 0.000
Rh 1.926 1.926 2.722

***

<R>
4
Lattice="0.000 3.324 3.324 3.324 0.000 3.324 3.324 3.324 0.000" Properties=species:S:1:pos:R:3 comment="BaRe2Rh, optimized geometry, DFT PBE" mass_density_g_cm3=13.845 pbc="T T T"
Re 1.662 1.662 1.662
Re 4.987 4.987 4.987
Rh 0.000 0.000 0.000
Ba 3.324 3.324 3.324

***

Verdict on stability: <Q> comes out on top.

***

<P>
4
Lattice="-1.834 -1.582 1.735 3.709 0.044 3.961 -1.843 3.981 1.681" Properties=species:S:1:pos:R:3 comment="BaReRu2, optimized geometry, DFT PBE" mass_density_g_cm3=11.491 pbc="T T T"
Ba -1.839 1.199 1.708
Re 0.933 2.012 2.821
Ru 0.000 0.000 0.000
Ru 0.937 -0.769 2.848

***

<Q>
4
Lattice="4.391 -0.046 0.033 2.304 3.738 0.033 2.129 1.174 5.990" Properties=species:S:1:pos:R:3 comment="BaReRu2, optimized geometry, DFT PBE" mass_density_g_cm3=8.852 pbc="T T T"
Ba 4.411 2.433 3.014
Re 2.208 1.218 0.415
Ru 6.696 3.693 0.081
Ru 6.617 3.650 5.641

***

Verdict on stability: <Q> comes out on top.

***

<P>
8
Lattice="7.486 0.000 0.000 0.000 7.486 0.000 3.743 3.743 3.328" Properties=species:S:1:pos:R:3 comment="BaReRu2, optimized geometry, DFT PBE" mass_density_g_cm3=9.360 pbc="T T T"
Re 0.000 0.000 0.000
Re 7.486 3.743 1.664
Ba 3.743 3.743 0.000
Ba 3.743 7.486 1.664
Ru 6.227 1.872 0.832
Ru 1.259 5.615 0.832
Ru 5.615 5.002 2.496
Ru 9.358 9.970 2.496

***

<Q>
4
Lattice="3.127 0.000 0.000 0.000 3.134 0.000 0.000 0.000 8.035" Properties=species:S:1:pos:R:3 comment="BaReRu2, optimized geometry, DFT PBE" mass_density_g_cm3=11.087 pbc="T T T"
Ba 1.563 1.567 2.009
Re 1.563 1.567 6.026
Ru 0.000 0.000 7.455
Ru 0.000 0.000 4.597

***

Verdict on stability: <Q> comes out on top.